Here is an optimized crystal structure of P2RhBr from Alexandria. Energies are from GGA-PBE.

Computed properties:
- E above lowest polymorph: 0.915 eV per atom
- Symmetry: F-43m
- Spin magnetization: 0.00 μB/cell
- Formation energy (no corrections): 0.7123 eV per atom

```
P2RhBr
1.0
4.4986 0.0000 0.0000
2.2493 3.8959 0.0000
2.2493 1.2986 3.6731
Br P Rh
1 2 1
Cartesian
4.4986 2.5973 1.8365 Br
0.0000 0.0000 0.0000 P
2.2493 1.2986 0.9183 P
6.7479 3.8959 2.7548 Rh
```